Below is a relaxed structure of Ca2MgIrC, with properties calculated at the PBE-GGA level.

The total energy is -4.949 eV/atom. As for the density of states at the Fermi level: 0.46 states/eV/atom. Its energy of formation from the pure elements is -1.06 eV per formula unit.

The structure belongs to space group P4/mmm (No. 123); the cell edges are 5.183, 5.183 and 3.905 Å and the angles 90.00°, 90.00° and 90.00°. Symmetry generates all atoms from Ca at (0.000, 0.500, 0.000), Mg at (0.000, 0.000, 0.500), Ir at (0.500, 0.500, 0.500) and C at (0.500, 0.500, 0.000).

***

Below is a relaxed structure of Ca2NiIrC, with properties calculated at the PBE-GGA level.

The total energy is -5.600 eV/atom. As for the density of states at the Fermi level: 0.63 states/eV/atom. Its energy of formation from the pure elements is -0.13 eV per formula unit.

The structure belongs to space group P4/mmm (No. 123); the cell edges are 5.026, 5.026 and 3.834 Å and the angles 90.00°, 90.00° and 90.00°. Symmetry generates all atoms from Ca at (0.000, 0.500, 0.000), Ni at (0.000, 0.000, 0.500), Ir at (0.500, 0.500, 0.500) and C at (0.500, 0.500, 0.000).

***

Below is a relaxed structure of CaNi2IrC, with properties calculated at the PBE-GGA level.

The total energy is -6.386 eV/atom. As for the density of states at the Fermi level: 0.53 states/eV/atom. Its energy of formation from the pure elements is -0.28 eV per formula unit.

The structure belongs to space group P4/mmm (No. 123); the cell edges are 4.052, 4.052 and 4.038 Å and the angles 90.00°, 90.00° and 90.00°. Symmetry generates all atoms from Ca at (0.000, 0.000, 0.000), Ni at (0.000, 0.500, 0.500), Ir at (0.500, 0.500, 0.000) and C at (0.500, 0.500, 0.500).

***

Below is a relaxed structure of CaIrCO5, with properties calculated at the PBE-GGA level.

The total energy is -7.017 eV/atom. As for the density of states at the Fermi level: 0.30 states/eV/atom. For the formation energy (no corrections), the calculation gives -1.407 eV per atom.

The structure belongs to space group C2/c (No. 15); the cell edges are 6.357, 8.502 and 6.926 Å and the angles 90.00°, 115.02° and 90.00°. Symmetry generates all atoms from Ca at (0.000, 0.146, 0.250), Ir at (0.000, 0.500, 0.000), C at (0.000, 0.193, 0.750), O at (0.000, 0.408, 0.250), O at (0.112, 0.281, 0.651) and O at (0.161, 0.090, 0.913).

***

Below is a relaxed structure of CaPIrC2, with properties calculated at the PBE-GGA level.

The total energy is -6.171 eV/atom. As for the density of states at the Fermi level: 0.54 states/eV/atom. Its energy of formation from the pure elements is 3.86 eV per formula unit.

The structure belongs to space group P4/mmm (No. 123); the cell edges are 3.933, 3.933 and 5.502 Å and the angles 90.00°, 90.00° and 90.00°. Symmetry generates all atoms from Ca at (0.000, 0.000, 0.000), P at (0.500, 0.500, 0.000), Ir at (0.500, 0.500, 0.500) and C at (0.000, 0.500, 0.500).

***

Below is a relaxed structure of RbCa2IrC, with properties calculated at the PBE-GGA level.

The total energy is -2.068 eV/atom. As for the density of states at the Fermi level: 0.66 states/eV/atom. Its energy of formation from the pure elements is 12.72 eV per formula unit.

The structure belongs to space group P4/mmm (No. 123); the cell edges are 5.931, 5.931 and 4.739 Å and the angles 90.00°, 90.00° and 90.00°. Symmetry generates all atoms from Rb at (0.000, 0.000, 0.000), Ca at (0.000, 0.500, 0.000), Ir at (0.000, 0.000, 0.500) and C at (0.500, 0.500, 0.500).

***

Below is a relaxed structure of CaIrRh2C, with properties calculated at the PBE-GGA level.

The total energy is -7.140 eV/atom. As for the density of states at the Fermi level: 0.74 states/eV/atom. Its energy of formation from the pure elements is -0.91 eV per formula unit.

The structure belongs to space group P4/mmm (No. 123); the cell edges are 4.221, 4.221 and 4.101 Å and the angles 90.00°, 90.00° and 90.00°. Symmetry generates all atoms from Ca at (0.000, 0.000, 0.000), Ir at (0.500, 0.500, 0.000), Rh at (0.000, 0.500, 0.500) and C at (0.500, 0.500, 0.500).

***

Below is a relaxed structure of CaIrC2Se, with properties calculated at the PBE-GGA level.

The total energy is -6.024 eV/atom. As for the density of states at the Fermi level: 0.51 states/eV/atom. For the formation energy (no corrections), the calculation gives 0.535 eV per atom.

The structure belongs to space group P4/mmm (No. 123); the cell edges are 3.927, 3.927 and 6.404 Å and the angles 90.00°, 90.00° and 90.00°. Symmetry generates all atoms from Ca at (0.000, 0.000, 0.000), Ir at (0.000, 0.000, 0.500), C at (0.000, 0.500, 0.500) and Se at (0.500, 0.500, 0.000).

***

Below is a relaxed structure of CaTeIr2C, with properties calculated at the PBE-GGA level.

The total energy is -6.211 eV/atom. As for the density of states at the Fermi level: 0.37 states/eV/atom. For the formation energy (no corrections), the calculation gives 0.207 eV per atom.

The structure belongs to space group P4/mmm (No. 123); the cell edges are 4.101, 4.101 and 5.345 Å and the angles 90.00°, 90.00° and 90.00°. Symmetry generates all atoms from Ca at (0.000, 0.000, 0.000), Te at (0.500, 0.500, 0.000), Ir at (0.000, 0.500, 0.500) and C at (0.500, 0.500, 0.500).

***

Below is a relaxed structure of Ca2TlIrC, with properties calculated at the PBE-GGA level.

The total energy is -5.199 eV/atom. As for the density of states at the Fermi level: 0.39 states/eV/atom. Its energy of formation from the pure elements is -1.54 eV per formula unit.

The structure belongs to space group P4/mmm (No. 123); the cell edges are 5.192, 5.192 and 3.909 Å and the angles 90.00°, 90.00° and 90.00°. Symmetry generates all atoms from Ca at (0.000, 0.500, 0.000), Tl at (0.000, 0.000, 0.500), Ir at (0.500, 0.500, 0.500) and C at (0.500, 0.500, 0.000).

***

Below is a relaxed structure of Ca2ZnIrC, with properties calculated at the PBE-GGA level.

The total energy is -4.945 eV/atom. As for the density of states at the Fermi level: 0.50 states/eV/atom. Its energy of formation from the pure elements is -1.37 eV per formula unit.

The structure belongs to space group P4/mmm (No. 123); the cell edges are 5.122, 5.122 and 3.866 Å and the angles 90.00°, 90.00° and 90.00°. Symmetry generates all atoms from Ca at (0.000, 0.500, 0.000), Zn at (0.000, 0.000, 0.500), Ir at (0.500, 0.500, 0.500) and C at (0.500, 0.500, 0.000).

***

Below is a relaxed structure of K3CaC, with properties calculated at the PBE-GGA level.

The total energy is -1.207 eV/atom. As for the density of states at the Fermi level: 0.71 states/eV/atom. Its distance to the lowest polymorph of the same formula is 68.0 kJ per mole of atoms. Its energy of formation from the pure elements is 8.48 eV per formula unit.

The structure belongs to space group Pm-3m (No. 221); the cell edges are 7.635, 7.635 and 7.635 Å and the angles 90.00°, 90.00° and 90.00°. Symmetry generates all atoms from K at (0.000, 0.000, 0.500), Ca at (0.000, 0.000, 0.000) and C at (0.500, 0.500, 0.500).

***

Below is a relaxed structure of KCa3C, with properties calculated at the PBE-GGA level.

The total energy is -1.127 eV/atom. As for the density of states at the Fermi level: 0.68 states/eV/atom. Its distance to the lowest polymorph of the same formula is 171.9 kJ per mole of atoms. Its energy of formation from the pure elements is 10.69 eV per formula unit.

The structure belongs to space group Pm-3m (No. 221); the cell edges are 6.927, 6.927 and 6.927 Å and the angles 90.00°, 90.00° and 90.00°. Symmetry generates all atoms from K at (0.000, 0.000, 0.000), Ca at (0.000, 0.000, 0.500) and C at (0.500, 0.500, 0.500).